Entry 1:
The following is a PBE calculation of crystalline BeRePO at its relaxed geometry, from the Open Quantum Materials Database.

Its energy relative to the lowest polymorph listed for this composition is 250 meV/atom. For the volume, the calculation gives 12.2 A^3/atom. As for the uncorrected energy: -0.534 Ry/atom.

a b c (Å): 4.1707 5.1159 4.5835
angles (deg): 90.00 90.00 90.00
Last column: nearest neighbours and their distance in Å.
Sites, in units of the cell vectors:
Be (0.5000, 0.3526, 0.0586)  2 O 1.55-1.57
Be (0.5000, 0.6474, 0.5586)  2 O 1.55-1.57
O (0.5000, 0.3766, 0.3959)  2 Be 1.55-1.57
O (0.5000, 0.6234, 0.8959)  2 Be 1.55-1.57
P (0.0000, 0.8462, 0.3975)  3 Re 2.36-2.44, 2 Be 2.43
P (0.0000, 0.1538, 0.8975)  3 Re 2.36-2.44, 2 Be 2.43
Re (0.0000, 0.3067, 0.4021)  2 O 2.12, 1 P 2.36
Re (0.0000, 0.6933, 0.9021)  2 O 2.12, 1 P 2.36



Entry 2:
The following is a PBE calculation of crystalline BeRePO at its relaxed geometry, from the Open Quantum Materials Database.

Its energy relative to the lowest polymorph listed for this composition is 9 meV/atom. For the volume, the calculation gives 14.0 A^3/atom. As for the uncorrected energy: -0.552 Ry/atom.

a b c (Å): 3.5617 3.5617 8.8144
angles (deg): 90.00 90.00 90.00
Last column: nearest neighbours and their distance in Å.
Sites, in units of the cell vectors:
Be (0.0000, 0.5000, 0.0138)  4 O 1.78
Be (0.5000, 0.0000, 0.9862)  4 O 1.78
O (0.0000, 0.0000, 0.0000)  4 Be 1.78
O (0.5000, 0.5000, 0.0000)  4 Be 1.78
P (0.0000, 0.5000, 0.3069)  4 Re 2.46, 1 Be 2.58
P (0.5000, 0.0000, 0.6931)  4 Re 2.46, 1 Be 2.58
Re (0.0000, 0.0000, 0.5000)  4 P 2.46, 4 Re 2.52
Re (0.5000, 0.5000, 0.5000)  4 P 2.46, 4 Re 2.52



Entry 3:
The following is a PBE calculation of crystalline SmBePO at its relaxed geometry, from the Open Quantum Materials Database.

Its energy relative to the lowest polymorph listed for this composition is 48 meV/atom. For the volume, the calculation gives 17.2 A^3/atom. As for the uncorrected energy: -0.478 Ry/atom.

a b c (Å): 4.1623 5.9613 5.5363
angles (deg): 90.00 90.00 90.00
Last column: nearest neighbours and their distance in Å.
Sites, in units of the cell vectors:
Be (0.5000, 0.8836, 0.0405)  2 O 1.67-1.71
Be (0.5000, 0.1164, 0.5405)  2 O 1.67-1.71
O (0.5000, 0.8992, 0.3493)  2 Be 1.67-1.71
O (0.5000, 0.1008, 0.8493)  2 Be 1.67-1.71
P (0.0000, 0.2697, 0.4362)  2 Be 2.35
P (0.0000, 0.7303, 0.9362)  2 Be 2.35
Sm (0.0000, 0.7478, 0.4279)  2 O 2.31
Sm (0.0000, 0.2522, 0.9279)  2 O 2.31



Entry 4:
The following is a PBE calculation of crystalline SmBePO at its relaxed geometry, from the Open Quantum Materials Database.

Its energy relative to the lowest polymorph listed for this composition is 1464 meV/atom. For the volume, the calculation gives 18.0 A^3/atom. As for the uncorrected energy: -0.374 Ry/atom.

a b c (Å): 3.9903 3.9903 9.0642
angles (deg): 90.00 90.00 90.00
Last column: nearest neighbours and their distance in Å.
Sites, in units of the cell vectors:
Be (0.5000, 0.5000, 0.0129)  4 O 2.00
Be (0.0000, 0.0000, 0.9871)  4 O 2.00
O (0.5000, 0.0000, 0.0000)  4 Be 2.00
O (0.0000, 0.5000, 0.0000)  4 Be 2.00
P (0.5000, 0.5000, 0.2940)  1 Be 2.55, 4 Sm 2.73
P (0.0000, 0.0000, 0.7060)  1 Be 2.55, 4 Sm 2.73
Sm (0.5000, 0.0000, 0.5000)  4 P 2.73, 4 Sm 2.82
Sm (0.0000, 0.5000, 0.5000)  4 P 2.73, 4 Sm 2.82



Entry 5:
The following is a PBE calculation of crystalline SmBePO at its relaxed geometry, from the Open Quantum Materials Database.

Its energy relative to the lowest polymorph listed for this composition is 0 meV/atom. For the volume, the calculation gives 15.4 A^3/atom. As for the uncorrected energy: -0.482 Ry/atom.

a b c (Å): 3.8110 3.8110 8.4950
angles (deg): 90.00 90.00 90.00
Last column: nearest neighbours and their distance in Å.
Sites, in units of the cell vectors:
Be (0.0000, 0.0000, 0.5000)  4 P 2.27
Be (0.5000, 0.5000, 0.5000)  4 P 2.27
O (0.0000, 0.0000, 0.0000)  4 Sm 2.27
O (0.5000, 0.5000, 0.0000)  4 Sm 2.27
P (0.5000, 0.0000, 0.3558)  4 Be 2.27
P (0.0000, 0.5000, 0.6442)  4 Be 2.27
Sm (0.0000, 0.5000, 0.1450)  4 O 2.27
Sm (0.5000, 0.0000, 0.8550)  4 O 2.27



Entry 6:
The following is a PBE calculation of crystalline SmBePO at its relaxed geometry, from the Open Quantum Materials Database.

Its energy relative to the lowest polymorph listed for this composition is 323 meV/atom. For the volume, the calculation gives 15.0 A^3/atom. As for the uncorrected energy: -0.458 Ry/atom.

a b c (Å): 3.0991 5.7424 6.7222
angles (deg): 90.00 90.00 90.00
Last column: nearest neighbours and their distance in Å.
Sites, in units of the cell vectors:
Be (0.0000, 0.2261, 0.4687)  2 O 1.74
Be (0.0000, 0.7739, 0.9687)  2 O 1.74
O (0.5000, 0.3566, 0.4294)  2 Be 1.74
O (0.5000, 0.6434, 0.9294)  2 Be 1.74
P (0.0000, 0.9048, 0.2691)  2 Be 2.16-2.28
P (0.0000, 0.0952, 0.7691)  2 Be 2.16-2.28
Sm (0.5000, 0.2855, 0.0868)  2 O 2.31-2.34
Sm (0.5000, 0.7145, 0.5868)  2 O 2.31-2.34



Entry 7:
The following is a PBE calculation of crystalline TaBePO at its relaxed geometry, from the Open Quantum Materials Database.

Its energy relative to the lowest polymorph listed for this composition is 94 meV/atom. For the volume, the calculation gives 13.1 A^3/atom. As for the uncorrected energy: -0.558 Ry/atom.

a b c (Å): 3.6027 6.0048 4.8620
angles (deg): 90.00 90.00 90.00
Last column: nearest neighbours and their distance in Å.
Sites, in units of the cell vectors:
Be (0.0000, 0.4172, 0.0620)  2 O 1.66-1.67
Be (0.0000, 0.5828, 0.5620)  2 O 1.66-1.67
O (0.0000, 0.3422, 0.3906)  2 Be 1.66-1.67
O (0.0000, 0.6578, 0.8906)  2 Be 1.66-1.67
P (0.5000, 0.7475, 0.3987)  2 Be 2.20, 1 Ta 2.45
P (0.5000, 0.2525, 0.8987)  2 Be 2.20, 1 Ta 2.45
Ta (0.5000, 0.1562, 0.4027)  2 O 2.12
Ta (0.5000, 0.8438, 0.9027)  2 O 2.12



Entry 8:
The following is a PBE calculation of crystalline TaBePO at its relaxed geometry, from the Open Quantum Materials Database.

Its energy relative to the lowest polymorph listed for this composition is 304 meV/atom. For the volume, the calculation gives 11.4 A^3/atom. As for the uncorrected energy: -0.542 Ry/atom.

a b c (Å): 3.3772 3.3772 7.9971
angles (deg): 90.00 90.00 90.00
Last column: nearest neighbours and their distance in Å.
Sites, in units of the cell vectors:
Be (0.0000, 0.0000, 0.5000)  4 P 2.26, 4 Be 2.39
Be (0.5000, 0.5000, 0.5000)  4 P 2.26, 4 Be 2.39
O (0.0000, 0.0000, 0.0000)  4 Ta 2.16, 4 O 2.39
O (0.5000, 0.5000, 0.0000)  4 Ta 2.16, 4 O 2.39
P (0.5000, 0.0000, 0.3119)  4 Be 2.26
P (0.0000, 0.5000, 0.6881)  4 Be 2.26
Ta (0.0000, 0.5000, 0.1677)  4 O 2.16
Ta (0.5000, 0.0000, 0.8323)  4 O 2.16